Here is a relaxed BeAl2Mo crystal from Alexandria. Energies are from PBE.

```
data_BeAl2Mo
_chemical_formula_sum 'Be1 Al2 Mo1'
_cell_length_a 4.059
_cell_length_b 2.761
_cell_length_c 5.072
_cell_angle_alpha 82.50
_cell_angle_beta 90.00
_cell_angle_gamma 90.00
_symmetry_space_group_name_H-M 'P 1'
_symmetry_Int_Tables_number 1
_symmetry_space_group_name_Hall 'P 1'
loop_
_atom_site_label
_atom_site_fract_x
_atom_site_fract_y
_atom_site_fract_z
Be1 0.000 0.204 0.519
Mo1 0.500 0.737 0.731
Al1 0.000 0.137 0.986
Al2 0.500 0.422 0.263
```

Calculated values
Its formation energy is -38.4 meV/atom.